{"formula": "U3PaP4", "functional": "GGA-PBE", "state": "relaxed", "lattice": [[5.572, 0.000, 0.000], [0.000, 5.572, 0.000], [0.000, 0.000, 5.572]], "species": ["U", "U", "U", "Pa", "P", "P", "P", "P"], "fractional_positions": [[0.000, 0.000, 0.500], [0.000, 0.500, 0.000], [0.500, 0.000, 0.000], [0.500, 0.500, 0.500], [0.000, 0.000, 0.000], [0.000, 0.500, 0.500], [0.500, 0.000, 0.500], [0.500, 0.500, 0.000]], "e_form_mev_per_atom": -1044, "spacegroup": "Pm-3m, No. 221", "final_energy_ev_per_cell": -73.36}

***

{"formula": "Sc4InHPb", "functional": "GGA-PBE", "state": "relaxed", "lattice": [[3.028, -7.929, 0.000], [3.028, 7.929, 0.000], [0.000, 0.000, 6.070]], "species": ["Sc", "Sc", "Sc", "Sc", "Sc", "Sc", "Sc", "Sc", "In", "In", "H", "H", "Pb", "Pb"], "fractional_positions": [[0.000, 0.500, 0.000], [0.000, 0.500, 0.500], [0.076, 0.924, 0.750], [0.422, 0.578, 0.750], [0.500, 0.000, 0.000], [0.500, 0.000, 0.500], [0.578, 0.422, 0.250], [0.924, 0.076, 0.250], [0.113, 0.887, 0.250], [0.887, 0.113, 0.750], [0.212, 0.788, 0.750], [0.788, 0.212, 0.250], [0.391, 0.609, 0.250], [0.609, 0.391, 0.750]], "spacegroup": "Cmcm, No. 63", "final_energy_ev_per_cell": -75.98}

***

{"formula": "PuNiSnAu", "functional": "GGA-PBE", "state": "relaxed", "lattice": [[0.000, 3.428, 3.428], [3.428, 0.000, 3.428], [3.428, 3.428, 0.000]], "species": ["Pu", "Ni", "Sn", "Au"], "fractional_positions": [[0.000, 0.000, 0.000], [0.750, 0.750, 0.750], [0.500, 0.500, 0.500], [0.250, 0.250, 0.250]], "e_form_mev_per_atom": -221, "spacegroup": "F-43m, No. 216", "final_energy_ev_per_cell": -28.28}

***

{"formula": "RbBeNb2S", "functional": "GGA-PBE", "state": "relaxed", "lattice": [[4.665, 0.000, 0.000], [0.000, 4.665, 0.000], [0.000, 0.000, 5.786]], "species": ["Rb", "Be", "Nb", "Nb", "S"], "fractional_positions": [[0.000, 0.000, 0.000], [0.500, 0.500, 0.000], [0.000, 0.500, 0.500], [0.500, 0.000, 0.500], [0.000, 0.000, 0.500]], "spacegroup": "P4/mmm, No. 123", "raw_formation_energy_kcal_per_mol_atoms": 22.23, "final_energy_ev_per_cell": -24.14}

***

{"formula": "Sr2TcN4", "functional": "GGA-PBE", "state": "relaxed", "lattice": [[5.951, 0.000, 0.000], [0.000, 5.951, 0.000], [0.000, 0.000, 3.502]], "species": ["Sr", "Sr", "Tc", "N", "N", "N", "N"], "fractional_positions": [[0.000, 0.500, 0.000], [0.500, 0.000, 0.000], [0.000, 0.000, 0.500], [0.225, 0.225, 0.500], [0.225, 0.775, 0.500], [0.775, 0.225, 0.500], [0.775, 0.775, 0.500]], "polymorph_energy_mev_per_atom": 601.1, "spacegroup": "P4/mmm, No. 123", "raw_formation_energy_kcal_per_mol_atoms": 3.65, "final_energy_ev_per_cell": -45.92}

***

{"formula": "Pt8Au", "functional": "GGA-PBE", "state": "relaxed", "lattice": [[-4.223, 4.223, 2.010], [4.223, -4.223, 2.010], [4.223, 4.223, -2.010]], "species": ["Pt", "Pt", "Pt", "Pt", "Pt", "Pt", "Pt", "Pt", "Au"], "fractional_positions": [[0.000, 0.335, 0.335], [0.000, 0.665, 0.665], [0.332, 0.332, 0.663], [0.332, 0.668, 0.000], [0.335, 0.000, 0.335], [0.665, 0.000, 0.665], [0.668, 0.332, 0.000], [0.668, 0.668, 0.337], [0.000, 0.000, 0.000]], "e_form_mev_per_atom": 24, "polymorph_energy_mev_per_atom": 16.2, "spacegroup": "I4/mmm, No. 139", "final_energy_ev_per_cell": -51.38}